*one*
# MgHg2W

A relaxed MgHg2W crystal (GGA-PBEsol, Alexandria via LeMat-Bulk).

Unit cell a=2.946 b=4.101 c=6.059 alpha=90.00 beta=89.91 gamma=90.00
Fractional coordinates of all 4 atoms:
Hg (0.000, 0.000, 0.254)
Mg (0.500, 0.500, 0.000)
Hg (0.000, 0.000, 0.746)
W (0.500, 0.500, 0.500)

Properties
* total moment: 0.0 Bohr magnetons per cell
* V: 18.3 Å³/atom

=====

*two*
# MgHg2W

A relaxed MgHg2W crystal (GGA-PBEsol, Alexandria via LeMat-Bulk).

Unit cell a=2.908 b=5.158 c=5.604 alpha=114.48 beta=105.04 gamma=90.00
Fractional coordinates of all 4 atoms:
Hg (0.248, 0.662, 0.496)
W (0.753, 0.156, 0.505)
Hg (0.005, 0.100, 0.011)
Mg (0.494, 0.582, 0.988)

Properties
* total moment: 0.0 Bohr magnetons per cell
* V: 18.3 Å³/atom

=====

*three*
# MgHg2W

A relaxed MgHg2W crystal (GGA-PBEsol, Alexandria via LeMat-Bulk).

Unit cell a=2.984 b=2.984 c=9.976 alpha=81.40 beta=81.40 gamma=60.00
Fractional coordinates of all 4 atoms:
Hg (0.995, 0.995, 0.014)
Mg (0.504, 0.504, 0.489)
Hg (0.753, 0.753, 0.741)
W (0.248, 0.248, 0.256)

Properties
* total moment: 0.0 Bohr magnetons per cell
* V: 18.9 Å³/atom

=====

Most stable: *two* (next structure +22 meV per atom)

=====

*one*
# Mg2ZnHg

A relaxed Mg2ZnHg crystal (GGA-PBEsol, Alexandria via LeMat-Bulk).

Unit cell a=4.746 b=4.746 c=4.746 alpha=60.00 beta=60.00 gamma=60.00
Fractional coordinates of all 4 atoms:
Mg (0.000, 0.000, 0.000)
Zn (0.250, 0.250, 0.250)
Mg (0.750, 0.750, 0.750)
Hg (0.500, 0.500, 0.500)

Properties
* total moment: 0.0 Bohr magnetons per cell
* V: 18.9 Å³/atom

=====

*two*
# Mg2ZnHg

A relaxed Mg2ZnHg crystal (GGA-PBEsol, Alexandria via LeMat-Bulk).

Unit cell a=4.163 b=4.163 c=5.311 alpha=113.07 beta=113.07 gamma=90.00
Fractional coordinates of all 4 atoms:
Hg (0.250, 0.750, 0.500)
Zn (0.500, 0.500, 0.000)
Mg (0.750, 0.250, 0.500)
Mg (0.000, 0.000, 0.000)

Properties
* total moment: 0.0 Bohr magnetons per cell
* V: 19.2 Å³/atom

=====

Most stable: *two* (next structure +71 meV per atom)

=====

*one*
# Mg2ZnHg

A relaxed Mg2ZnHg crystal (GGA-PBEsol, Alexandria via LeMat-Bulk).

Unit cell a=3.251 b=4.868 c=5.411 alpha=108.00 beta=107.49 gamma=90.00
Fractional coordinates of all 4 atoms:
Mg (0.766, 0.307, 0.532)
Hg (0.235, 0.789, 0.470)
Zn (0.511, 0.452, 0.022)
Mg (0.988, 0.952, 0.976)

Properties
* total moment: 0.0 Bohr magnetons per cell
* V: 19.3 Å³/atom

=====

*two*
# Mg2ZnHg

A relaxed Mg2ZnHg crystal (GGA-PBEsol, Alexandria via LeMat-Bulk).

Unit cell a=3.707 b=4.471 c=5.485 alpha=114.05 beta=109.75 gamma=90.00
Fractional coordinates of all 4 atoms:
Mg (0.007, 0.007, 0.013)
Mg (0.239, 0.739, 0.478)
Zn (0.492, 0.492, 0.984)
Hg (0.762, 0.262, 0.524)

Properties
* total moment: 0.0 Bohr magnetons per cell
* V: 19.3 Å³/atom

=====

*three*
# Mg2ZnHg

A relaxed Mg2ZnHg crystal (GGA-PBEsol, Alexandria via LeMat-Bulk).

Unit cell a=4.740 b=4.740 c=4.740 alpha=60.00 beta=60.00 gamma=60.00
Fractional coordinates of all 4 atoms:
Mg (0.250, 0.250, 0.250)
Zn (0.500, 0.500, 0.500)
Mg (0.750, 0.750, 0.750)
Hg (0.000, 0.000, 0.000)

Properties
* total moment: 0.0 Bohr magnetons per cell
* V: 18.8 Å³/atom

=====

Most stable: *three* (next structure +39 meV per atom)